An optimized crystal structure of TbPrPu2Se5, computed with PBE-GGA.

Output
formation energy from raw total energies: -1.154 eV/atom

a b c (Å): 5.1620 5.1620 11.0583
angles (deg): 90.00 90.00 90.00
Positions (direct):
Tb1 0.0000 0.0000 0.0000
Pr1 0.0000 0.0000 0.5000
Pu1 0.5000 0.5000 0.1831
Pu2 0.5000 0.5000 0.8169
Se1 0.0000 0.0000 0.2508
Se2 0.0000 0.0000 0.7492
Se3 0.0000 0.5000 0.0000
Se4 0.5000 0.0000 0.0000
Se5 0.5000 0.5000 0.5000

An optimized crystal structure of Tb2Pr3PuSe6, computed with PBE-GGA.

Output
formation energy from raw total energies: -1.782 eV/atom

a b c (Å): 7.2185 7.2185 7.3175
angles (deg): 99.46 99.46 120.02
Positions (direct):
Tb1 0.1674 0.8326 0.0000
Tb2 0.8326 0.1674 0.0000
Pr1 0.0000 0.0000 0.5000
Pr2 0.3332 0.6668 0.5000
Pr3 0.6668 0.3332 0.5000
Pu1 0.5000 0.5000 0.0000
Se1 0.0858 0.4209 0.7630
Se2 0.2432 0.2432 0.2358
Se3 0.4209 0.0858 0.7630
Se4 0.5791 0.9142 0.2370
Se5 0.7568 0.7568 0.7642
Se6 0.9142 0.5791 0.2370

An optimized crystal structure of Tb3PrPu2Se6, computed with PBE-GGA.

Output
formation energy from raw total energies: -1.727 eV/atom

a b c (Å): 7.1526 7.1526 7.2079
angles (deg): 99.52 99.52 120.06
Positions (direct):
Tb1 0.0000 0.0000 0.0000
Tb2 0.3359 0.6641 0.0000
Tb3 0.6641 0.3359 0.0000
Pr1 0.5000 0.5000 0.5000
Pu1 0.1671 0.8329 0.5000
Pu2 0.8329 0.1671 0.5000
Se1 0.0742 0.4138 0.2424
Se2 0.2453 0.2453 0.7560
Se3 0.4138 0.0742 0.2424
Se4 0.5862 0.9258 0.7576
Se5 0.7547 0.7547 0.2440
Se6 0.9258 0.5862 0.7576

DOS at the Fermi energy, respectively: 32.46 14.06 19.05 states/eV/cell.
Volume, respectively: 32.7 26.0 25.1 Å³/atom.